YNp2ScS4 | Alexandria | GGA-PBE | optimized geometry; spin magnetization = 0.09 μB/f.u.; SG = P2/m (10); energy relative to the elements, uncorrected = -1628 meV per atom; E_tot = -8.5267 eV/atom
1.0
3.865 0.000 0.000
0.000 6.726 0.123
0.000 -2.341 6.219
Y Np Sc S
1 2 1 4
Cartesian
1.932 3.363 0.061
1.932 -1.170 3.109
0.000 2.192 3.171
0.000 0.000 0.000
1.932 1.053 1.515
1.932 3.332 4.827
0.000 -0.134 4.729
0.000 4.519 1.612